# 1
An optimized crystal structure of HoSnAuS3, computed with PBE.

The structure belongs to space group Pnma (No. 62); the cell edges are 10.0303, 4.0128 and 14.4702 Å and the angles 90.00°, 90.00° and 90.00°. The inequivalent atoms are Ho at (0.1695, 0.2500, 0.0354), Sn at (0.0164, 0.2500, 0.7049), Au at (0.1995, 0.2500, 0.3520), S at (0.0077, 0.7500, 0.1081), S at (0.1545, 0.2500, 0.5094) and S at (0.1983, 0.7500, 0.7073).

Its polymorph energy (0 for the lowest one) is 0 meV per atom. The value obtained for the density is 6.6 g/cm³.

---

# 2
An optimized crystal structure of HoSnAuS3, computed with PBE.

The structure belongs to space group Pnma (No. 62); the cell edges are 10.2525, 4.0471 and 14.2955 Å and the angles 90.00°, 90.00° and 90.00°. The inequivalent atoms are Ho at (0.0160, 0.2500, 0.2370), Sn at (0.2317, 0.7500, 0.4410), Au at (0.2429, 0.2500, 0.5995), S at (0.0184, 0.2500, 0.6314), S at (0.0291, 0.7500, 0.1114) and S at (0.2424, 0.7500, 0.8152).

Its polymorph energy (0 for the lowest one) is 16 meV per atom. The value obtained for the density is 6.5 g/cm³.

---

# 3
An optimized crystal structure of SrHoAuS3, computed with PBE.

The structure belongs to space group Pnma (No. 62); the cell edges are 12.6824, 4.0068 and 10.9252 Å and the angles 90.00°, 90.00° and 90.00°. The inequivalent atoms are Sr at (0.1861, 0.2500, 0.0268), Ho at (0.0107, 0.7500, 0.6684), Au at (0.2008, 0.7500, 0.2679), S at (0.0361, 0.7500, 0.1599), S at (0.1129, 0.2500, 0.5425) and S at (0.1899, 0.7500, 0.8160).

As for the total energy: -5.16 eV per atom. The value obtained for the density is 6.5 g/cm³.